Record 1
Entry from the Alexandria database: an optimized crystal structure of Hg2SbBr (PBE-GGA).

a b c (Å): 4.4305 4.4305 11.4089
angles (deg): 90.00 90.00 90.00
Fractional coordinates of all 8 atoms:
Hg 0.0000 0.5000 0.2500
Hg 0.0000 0.5000 0.7500
Hg 0.5000 0.0000 0.2500
Hg 0.5000 0.0000 0.7500
Sb 0.0000 0.0000 0.0000
Sb 0.5000 0.5000 0.5000
Br 0.0000 0.0000 0.5000
Br 0.5000 0.5000 0.0000

Calculated values
Its offset from the most stable computed form is 341 meV per atom. For the uncorrected formation energy, the calculation gives 0.137 eV/atom. The space-group type is I4/mmm, No. 139.


Record 2
Entry from the Alexandria database: an optimized crystal structure of HgSbBr2 (PBE-GGA).

a b c (Å): 3.5312 3.5312 10.1624
angles (deg): 90.00 90.00 90.00
Fractional coordinates of all 4 atoms:
Hg 0.0000 0.0000 0.0000
Sb 0.0000 0.0000 0.5000
Br 0.5000 0.5000 0.3114
Br 0.5000 0.5000 0.6886

Calculated values
Its offset from the most stable computed form is 280 meV per atom. For the uncorrected formation energy, the calculation gives -0.013 eV/atom. The space-group type is P4/mmm, No. 123.


Record 3
Entry from the Alexandria database: an optimized crystal structure of Hg2SbBr (PBE-GGA).

a b c (Å): 5.7349 5.7436 3.4704
angles (deg): 90.00 90.00 90.00
Fractional coordinates of all 4 atoms:
Hg 0.0000 0.0000 0.0000
Hg 0.5000 0.5000 0.1301
Sb 0.5000 0.0000 0.0672
Br 0.0000 0.5000 0.5681

Calculated values
Its offset from the most stable computed form is 112 meV per atom. For the uncorrected formation energy, the calculation gives -0.092 eV/atom. The space-group type is Pmm2, No. 25.


Record 4
Entry from the Alexandria database: an optimized crystal structure of Hg2SbBr (PBE-GGA).

a b c (Å): 7.5620 7.5620 7.5620
angles (deg): 90.00 90.00 90.00
Fractional coordinates of all 16 atoms:
Hg 0.2500 0.2500 0.2500
Hg 0.2500 0.2500 0.7500
Hg 0.2500 0.7500 0.2500
Hg 0.2500 0.7500 0.7500
Hg 0.7500 0.2500 0.2500
Hg 0.7500 0.2500 0.7500
Hg 0.7500 0.7500 0.2500
Hg 0.7500 0.7500 0.7500
Sb 0.0000 0.0000 0.0000
Sb 0.0000 0.5000 0.5000
Sb 0.5000 0.0000 0.5000
Sb 0.5000 0.5000 0.0000
Br 0.0000 0.0000 0.5000
Br 0.0000 0.5000 0.0000
Br 0.5000 0.0000 0.0000
Br 0.5000 0.5000 0.5000

Calculated values
Its offset from the most stable computed form is 375 meV per atom. For the uncorrected formation energy, the calculation gives 0.171 eV/atom. The space-group type is Fm-3m, No. 225.


Record 5
Entry from the Alexandria database: an optimized crystal structure of HgSbBr2 (PBE-GGA).

a b c (Å): 3.5201 5.0585 15.1940
angles (deg): 90.00 90.00 90.00
Fractional coordinates of all 8 atoms:
Hg 0.0000 0.0000 0.0000
Hg 0.5000 0.5000 0.5000
Sb 0.0000 0.5000 0.6990
Sb 0.5000 0.0000 0.1990
Br 0.0000 0.0000 0.3497
Br 0.0000 0.5000 0.1752
Br 0.5000 0.0000 0.6752
Br 0.5000 0.5000 0.8497

Calculated values
Its offset from the most stable computed form is 192 meV per atom. For the uncorrected formation energy, the calculation gives -0.100 eV/atom. The space-group type is Imm2, No. 44.


Record 6
Entry from the Alexandria database: an optimized crystal structure of Hg2Sb2Br (PBE-GGA).

a b c (Å): 4.3392 4.3392 15.6955
angles (deg): 90.00 90.00 90.00
Fractional coordinates of all 10 atoms:
Hg 0.0000 0.0000 0.0916
Hg 0.0000 0.0000 0.9084
Hg 0.5000 0.5000 0.4084
Hg 0.5000 0.5000 0.5916
Sb 0.0000 0.5000 0.2500
Sb 0.0000 0.5000 0.7500
Sb 0.5000 0.0000 0.2500
Sb 0.5000 0.0000 0.7500
Br 0.0000 0.0000 0.5000
Br 0.5000 0.5000 0.0000

Calculated values
Its offset from the most stable computed form is 62 meV per atom. For the uncorrected formation energy, the calculation gives 0.077 eV/atom. The space-group type is I4/mmm, No. 139.


Record 7
Entry from the Alexandria database: an optimized crystal structure of HgSbBr2 (PBE-GGA).

a b c (Å): 15.0884 3.8450 5.6045
angles (deg): 90.00 111.59 90.00
Fractional coordinates of all 8 atoms:
Hg 0.0000 0.0000 0.0000
Hg 0.5000 0.5000 0.0000
Sb 0.0000 0.5000 0.5000
Sb 0.5000 0.0000 0.5000
Br 0.1525 0.0000 0.6510
Br 0.3475 0.5000 0.3490
Br 0.6525 0.5000 0.6510
Br 0.8475 0.0000 0.3490

Calculated values
Its offset from the most stable computed form is 71 meV per atom. For the uncorrected formation energy, the calculation gives -0.221 eV/atom. The space-group type is C2/m, No. 12.


Record 8
Entry from the Alexandria database: an optimized crystal structure of Hg2SbBr (PBE-GGA).

a b c (Å): 5.9370 8.9106 5.3268
angles (deg): 90.00 123.10 90.00
Fractional coordinates of all 8 atoms:
Hg 0.2500 0.2500 0.0000
Hg 0.2500 0.7500 0.0000
Hg 0.7500 0.2500 0.0000
Hg 0.7500 0.7500 0.0000
Sb 0.0000 0.0000 0.5000
Sb 0.5000 0.5000 0.5000
Br 0.0000 0.5000 0.5000
Br 0.5000 0.0000 0.5000

Calculated values
Its offset from the most stable computed form is 167 meV per atom. For the uncorrected formation energy, the calculation gives -0.037 eV/atom. The space-group type is C2/m, No. 12.


Record 9
Entry from the Alexandria database: an optimized crystal structure of Hg2SbBr (PBE-GGA).

a b c (Å): 4.3585 4.3585 22.1688
angles (deg): 90.00 90.00 120.00
Fractional coordinates of all 12 atoms:
Hg 0.0000 0.0000 0.0000
Hg 0.0000 0.0000 0.1903
Hg 0.3333 0.6667 0.6667
Hg 0.3333 0.6667 0.8570
Hg 0.6667 0.3333 0.3333
Hg 0.6667 0.3333 0.5237
Sb 0.0000 0.0000 0.5960
Sb 0.3333 0.6667 0.2626
Sb 0.6667 0.3333 0.9293
Br 0.0000 0.0000 0.7708
Br 0.3333 0.6667 0.4375
Br 0.6667 0.3333 0.1041

Calculated values
Its offset from the most stable computed form is 189 meV per atom. For the uncorrected formation energy, the calculation gives -0.015 eV/atom. The space-group type is R3m, No. 160.


Record 10
Entry from the Alexandria database: an optimized crystal structure of HgSbBr2 (PBE-GGA).

a b c (Å): 4.0405 4.0405 26.5596
angles (deg): 90.00 90.00 120.00
Fractional coordinates of all 12 atoms:
Hg 0.0000 0.0000 0.0000
Hg 0.3333 0.6667 0.6667
Hg 0.6667 0.3333 0.3333
Sb 0.0000 0.0000 0.2624
Sb 0.3333 0.6667 0.9291
Sb 0.6667 0.3333 0.5958
Br 0.0000 0.0000 0.5210
Br 0.0000 0.0000 0.7327
Br 0.3333 0.6667 0.1876
Br 0.3333 0.6667 0.3994
Br 0.6667 0.3333 0.0660
Br 0.6667 0.3333 0.8543

Calculated values
Its offset from the most stable computed form is 213 meV per atom. For the uncorrected formation energy, the calculation gives -0.080 eV/atom. The space-group type is R3m, No. 160.


Record 11
Entry from the Alexandria database: an optimized crystal structure of Hg2SbBr (PBE-GGA).

a b c (Å): 6.5296 6.5296 14.1914
angles (deg): 90.00 90.00 90.00
Fractional coordinates of all 16 atoms:
Hg 0.2042 0.2500 0.1250
Hg 0.2500 0.7042 0.3750
Hg 0.2500 0.7958 0.8750
Hg 0.2958 0.2500 0.6250
Hg 0.7042 0.7500 0.6250
Hg 0.7500 0.2042 0.8750
Hg 0.7500 0.2958 0.3750
Hg 0.7958 0.7500 0.1250
Sb 0.0000 0.0000 0.0000
Sb 0.0000 0.5000 0.2500
Sb 0.5000 0.0000 0.7500
Sb 0.5000 0.5000 0.5000
Br 0.0000 0.0000 0.5000
Br 0.0000 0.5000 0.7500
Br 0.5000 0.0000 0.2500
Br 0.5000 0.5000 0.0000

Calculated values
Its offset from the most stable computed form is 51 meV per atom. For the uncorrected formation energy, the calculation gives -0.153 eV/atom. The space-group type is I-42d, No. 122.


Record 12
Entry from the Alexandria database: an optimized crystal structure of Hg2SbBr (PBE-GGA).

a b c (Å): 3.6032 3.8326 7.8165
angles (deg): 90.00 90.00 90.00
Fractional coordinates of all 4 atoms:
Hg 0.0000 0.0000 0.2370
Hg 0.0000 0.0000 0.7630
Sb 0.5000 0.5000 0.0000
Br 0.5000 0.5000 0.5000

Calculated values
Its offset from the most stable computed form is 278 meV per atom. For the uncorrected formation energy, the calculation gives 0.073 eV/atom. The space-group type is Pmmm, No. 47.


Among the records above, which one has the highest offset from the most stable computed form?
number 4


Which formula does entry 10 have?
HgSbBr2


Which of these has the lowest offset from the most stable computed form?
number 11


What is the formula in the eleventh record?
Hg2SbBr